Material: TiCdGe
Method: DFT, GGA-PBE
State: relaxed

* E_form: -0.0915 eV per atom
* volume: 111.5 Å³ per cell
* final energy: -4.567 eV/atom

The structure in CIF format:
```
data_TiCdGe
_symmetry_space_group_name_H-M 'P 1'
_symmetry_Int_Tables_number 1
_cell_length_a 3.9251
_cell_length_b 2.9679
_cell_length_c 12.7602
_cell_angle_alpha 90.00
_cell_angle_beta 90.00
_cell_angle_gamma 131.39
loop_
_symmetry_equiv_pos_as_xyz
'x,y,z'
loop_
_atom_site_label
_atom_site_type_symbol
_atom_site_fract_x
_atom_site_fract_y
_atom_site_fract_z
Ti1 Ti 0.1902 0.3805 0.8609
Ge1 Ge 0.6903 0.3807 0.0000
Cd1 Cd 0.6895 0.3790 0.3123
Ti2 Ti 0.1902 0.3805 0.1391
Ge2 Ge 0.2168 0.4336 0.5000
Cd2 Cd 0.6895 0.3790 0.6877
```

=====

Material: TiCdGe3
Method: DFT, GGA-PBE
State: relaxed

* E_form: 0.2805 eV per atom
* volume: 121.6 Å³ per cell
* excess energy over the best structure of this formula in the dataset: 0 meV per atom
* final energy: -4.252 eV/atom

The structure in CIF format:
```
data_TiCdGe3
_symmetry_space_group_name_H-M 'P 1'
_symmetry_Int_Tables_number 1
_cell_length_a 4.9549
_cell_length_b 4.9549
_cell_length_c 4.9549
_cell_angle_alpha 90.00
_cell_angle_beta 90.00
_cell_angle_gamma 90.00
loop_
_symmetry_equiv_pos_as_xyz
'x,y,z'
loop_
_atom_site_label
_atom_site_type_symbol
_atom_site_fract_x
_atom_site_fract_y
_atom_site_fract_z
Cd1 Cd 0.5000 0.5000 0.5000
Ge1 Ge 0.0000 0.0000 0.5000
Ti1 Ti 0.0000 0.0000 0.0000
Ge2 Ge 0.5000 0.0000 0.0000
Ge3 Ge 0.0000 0.5000 0.0000
```

=====

Material: Ti2Cd2Ge
Method: DFT, GGA-PBE
State: relaxed

* E_form: -0.0212 eV per atom
* volume: 200.4 Å³ per cell
* final energy: -4.469 eV/atom

The structure in CIF format:
```
data_Ti2Cd2Ge
_symmetry_space_group_name_H-M 'P 1'
_symmetry_Int_Tables_number 1
_cell_length_a 6.6170
_cell_length_b 6.6170
_cell_length_c 4.5767
_cell_angle_alpha 90.00
_cell_angle_beta 90.00
_cell_angle_gamma 90.00
loop_
_symmetry_equiv_pos_as_xyz
'x,y,z'
loop_
_atom_site_label
_atom_site_type_symbol
_atom_site_fract_x
_atom_site_fract_y
_atom_site_fract_z
Cd1 Cd 0.3426 0.1574 0.5000
Ti1 Ti 0.6463 0.1463 0.0000
Cd2 Cd 0.1574 0.6574 0.5000
Cd3 Cd 0.8426 0.3426 0.5000
Ti2 Ti 0.8537 0.6463 0.0000
Ge1 Ge 0.0000 0.0000 0.0000
Ge2 Ge 0.5000 0.5000 0.0000
Ti3 Ti 0.3537 0.8537 0.0000
Ti4 Ti 0.1463 0.3537 0.0000
Cd4 Cd 0.6574 0.8426 0.5000
```

=====

Material: TiZnCd2Ge
Method: DFT, GGA-PBE
State: relaxed

* E_form: 0.5428 eV per atom
* volume: 123.7 Å³ per cell
* final energy: -2.580 eV/atom

The structure in CIF format:
```
data_TiZnCd2Ge
_symmetry_space_group_name_H-M 'P 1'
_symmetry_Int_Tables_number 1
_cell_length_a 5.0148
_cell_length_b 4.9173
_cell_length_c 5.0148
_cell_angle_alpha 90.00
_cell_angle_beta 90.00
_cell_angle_gamma 90.00
loop_
_symmetry_equiv_pos_as_xyz
'x,y,z'
loop_
_atom_site_label
_atom_site_type_symbol
_atom_site_fract_x
_atom_site_fract_y
_atom_site_fract_z
Cd1 Cd 0.0000 0.0000 0.5000
Zn1 Zn 0.5000 0.5000 0.5000
Ge1 Ge 0.0000 0.0000 0.0000
Cd2 Cd 0.5000 0.0000 0.0000
Ti1 Ti 0.0000 0.5000 0.0000
```

=====

Material: Ti2ZnCdGe
Method: DFT, GGA-PBE
State: relaxed

* E_form: 0.6258 eV per atom
* volume: 106.3 Å³ per cell
* excess energy over the best structure of this formula in the dataset: 0 meV per atom
* final energy: -3.893 eV/atom

The structure in CIF format:
```
data_Ti2ZnCdGe
_symmetry_space_group_name_H-M 'P 1'
_symmetry_Int_Tables_number 1
_cell_length_a 4.7395
_cell_length_b 4.7327
_cell_length_c 4.7395
_cell_angle_alpha 90.00
_cell_angle_beta 90.00
_cell_angle_gamma 90.00
loop_
_symmetry_equiv_pos_as_xyz
'x,y,z'
loop_
_atom_site_label
_atom_site_type_symbol
_atom_site_fract_x
_atom_site_fract_y
_atom_site_fract_z
Zn1 Zn 0.0000 0.0000 0.0000
Cd1 Cd 0.0000 0.5000 0.0000
Ti1 Ti 0.5000 0.0000 0.0000
Ge1 Ge 0.5000 0.5000 0.5000
Ti2 Ti 0.0000 0.0000 0.5000
```

=====

Material: Ti2ZnCdGe
Method: DFT, GGA-PBE
State: relaxed

* E_form: 1.0149 eV per atom
* volume: 117.3 Å³ per cell
* excess energy over the best structure of this formula in the dataset: 389 meV per atom
* final energy: -3.504 eV/atom

The structure in CIF format:
```
data_Ti2ZnCdGe
_symmetry_space_group_name_H-M 'P 1'
_symmetry_Int_Tables_number 1
_cell_length_a 5.0156
_cell_length_b 4.6646
_cell_length_c 5.0156
_cell_angle_alpha 90.00
_cell_angle_beta 90.00
_cell_angle_gamma 90.00
loop_
_symmetry_equiv_pos_as_xyz
'x,y,z'
loop_
_atom_site_label
_atom_site_type_symbol
_atom_site_fract_x
_atom_site_fract_y
_atom_site_fract_z
Zn1 Zn 0.0000 0.5000 0.0000
Ge1 Ge 0.5000 0.5000 0.5000
Ti1 Ti 0.0000 0.0000 0.5000
Cd1 Cd 0.0000 0.0000 0.0000
Ti2 Ti 0.5000 0.0000 0.0000
```

=====

Material: Tl2CdGe
Method: DFT, GGA-PBE
State: relaxed

* E_form: 0.2304 eV per atom
* volume: 221.7 Å³ per cell
* excess energy over the best structure of this formula in the dataset: 50 meV per atom
* final energy: -2.336 eV/atom

The structure in CIF format:
```
data_Tl2CdGe
_symmetry_space_group_name_H-M 'P 1'
_symmetry_Int_Tables_number 1
_cell_length_a 8.5315
_cell_length_b 8.5315
_cell_length_c 6.7582
_cell_angle_alpha 50.86
_cell_angle_beta 50.86
_cell_angle_gamma 90.00
loop_
_symmetry_equiv_pos_as_xyz
'x,y,z'
loop_
_atom_site_label
_atom_site_type_symbol
_atom_site_fract_x
_atom_site_fract_y
_atom_site_fract_z
Tl1 Tl 0.5897 0.1250 0.2500
Tl2 Tl 0.3750 0.4103 0.7500
Ge1 Ge 0.2500 0.7500 0.5000
Cd1 Cd 0.0000 0.0000 0.0000
Ge2 Ge 0.5000 0.5000 0.0000
Tl3 Tl 0.1603 0.6250 0.2500
Cd2 Cd 0.7500 0.2500 0.5000
Tl4 Tl 0.8750 0.8397 0.7500
```

=====

Material: Tl2Cd2Ge
Method: DFT, GGA-PBE
State: relaxed

* E_form: 0.2506 eV per atom
* volume: 142.2 Å³ per cell
* excess energy over the best structure of this formula in the dataset: 110 meV per atom
* final energy: -1.985 eV/atom

The structure in CIF format:
```
data_Tl2Cd2Ge
_symmetry_space_group_name_H-M 'P 1'
_symmetry_Int_Tables_number 1
_cell_length_a 3.9343
_cell_length_b 3.9343
_cell_length_c 9.6006
_cell_angle_alpha 78.18
_cell_angle_beta 78.18
_cell_angle_gamma 90.00
loop_
_symmetry_equiv_pos_as_xyz
'x,y,z'
loop_
_atom_site_label
_atom_site_type_symbol
_atom_site_fract_x
_atom_site_fract_y
_atom_site_fract_z
Tl1 Tl 0.4064 0.4064 0.1872
Cd1 Cd 0.2500 0.7500 0.5000
Cd2 Cd 0.7500 0.2500 0.5000
Tl2 Tl 0.5936 0.5936 0.8128
Ge1 Ge 0.0000 0.0000 0.0000
```

=====

Material: Tl5Cd12Ge3
Method: DFT, GGA-PBE
State: relaxed

* E_form: 0.2501 eV per atom
* volume: 2426.4 Å³ per cell
* final energy: -1.583 eV/atom

The structure in CIF format:
```
data_Tl5Cd12Ge3
_symmetry_space_group_name_H-M 'P 1'
_symmetry_Int_Tables_number 1
_cell_length_a 14.6621
_cell_length_b 14.6621
_cell_length_c 14.6621
_cell_angle_alpha 109.47
_cell_angle_beta 109.47
_cell_angle_gamma 109.47
loop_
_symmetry_equiv_pos_as_xyz
'x,y,z'
loop_
_atom_site_label
_atom_site_type_symbol
_atom_site_fract_x
_atom_site_fract_y
_atom_site_fract_z
Cd1 Cd 0.9372 0.8341 0.5747
Tl1 Tl 0.5000 0.5000 0.5000
Ge1 Ge 0.2500 0.1250 0.3750
Cd2 Cd 0.3341 0.7595 0.3970
Cd3 Cd 0.8625 0.2595 0.4253
Ge2 Ge 0.3750 0.6250 0.2500
Cd4 Cd 0.4372 0.3625 0.6030
Tl2 Tl 0.7500 0.6250 0.3750
Ge3 Ge 0.1250 0.8750 0.7500
Ge4 Ge 0.7500 0.8750 0.6250
Cd5 Cd 0.0628 0.8970 0.1375
Cd6 Cd 0.7595 0.3341 0.8970
Cd7 Cd 0.8970 0.8341 0.7595
Cd8 Cd 0.1030 0.9372 0.3625
Tl3 Tl 0.1250 0.3750 0.2500
Tl4 Tl 0.7500 0.1250 0.8750
Tl5 Tl 0.0000 0.5000 0.0000
Cd9 Cd 0.8625 0.6030 0.9372
Cd10 Cd 0.6375 0.0747 0.2405
Cd11 Cd 0.6659 0.2405 0.6030
Cd12 Cd 0.6030 0.7405 0.6659
Tl6 Tl 0.5000 0.5000 0.0000
Cd13 Cd 0.3625 0.4372 0.1030
Cd14 Cd 0.6659 0.4253 0.5628
Tl7 Tl 0.0000 0.0000 0.0000
Cd15 Cd 0.2405 0.6659 0.1030
Cd16 Cd 0.1659 0.0628 0.9253
Cd17 Cd 0.6375 0.5628 0.8970
Cd18 Cd 0.3970 0.2595 0.3341
Cd19 Cd 0.1030 0.1659 0.2405
Ge5 Ge 0.8750 0.1250 0.2500
Tl8 Tl 0.5000 0.0000 0.0000
Cd20 Cd 0.3341 0.5747 0.4372
Cd21 Cd 0.8970 0.0628 0.6375
Cd22 Cd 0.6030 0.8625 0.4372
Cd23 Cd 0.7405 0.1375 0.0747
Cd24 Cd 0.3970 0.1375 0.5628
Tl9 Tl 0.1250 0.7500 0.3750
Ge6 Ge 0.2500 0.6250 0.8750
Cd25 Cd 0.8341 0.8970 0.2595
Cd26 Cd 0.9372 0.1030 0.8625
Ge7 Ge 0.6250 0.3750 0.7500
Cd27 Cd 0.8341 0.9372 0.0747
Cd28 Cd 0.7595 0.4253 0.3625
Tl10 Tl 0.3750 0.1250 0.7500
Tl11 Tl 0.6250 0.7500 0.8750
Cd29 Cd 0.9253 0.3625 0.2595
Cd30 Cd 0.3625 0.9253 0.7595
Tl12 Tl 0.2500 0.8750 0.1250
Cd31 Cd 0.7405 0.6030 0.1659
Cd32 Cd 0.2595 0.8625 0.9253
Cd33 Cd 0.5747 0.2405 0.1375
Cd34 Cd 0.5628 0.9253 0.6659
Cd35 Cd 0.1659 0.1030 0.7405
Cd36 Cd 0.0747 0.4372 0.8341
Cd37 Cd 0.5747 0.3341 0.9372
Tl13 Tl 0.3750 0.2500 0.1250
Tl14 Tl 0.8750 0.2500 0.6250
Cd38 Cd 0.0628 0.1659 0.4253
Ge8 Ge 0.6250 0.2500 0.3750
Tl15 Tl 0.2500 0.3750 0.6250
Tl16 Tl 0.6250 0.8750 0.2500
Cd39 Cd 0.2595 0.3970 0.8341
Tl17 Tl 0.8750 0.6250 0.7500
Ge9 Ge 0.3750 0.7500 0.6250
Cd40 Cd 0.4253 0.7595 0.8625
Cd41 Cd 0.0747 0.6375 0.7405
Cd42 Cd 0.4253 0.6659 0.0628
Cd43 Cd 0.1375 0.3970 0.0628
Cd44 Cd 0.2405 0.5747 0.6375
Ge10 Ge 0.7500 0.3750 0.1250
Cd45 Cd 0.4372 0.0747 0.3341
Ge11 Ge 0.1250 0.2500 0.8750
Tl18 Tl 0.5000 0.0000 0.5000
Tl19 Tl 0.0000 0.5000 0.5000
Tl20 Tl 0.0000 0.0000 0.5000
Ge12 Ge 0.8750 0.7500 0.1250
Cd46 Cd 0.1375 0.7405 0.5747
Cd47 Cd 0.9253 0.5628 0.1659
Cd48 Cd 0.5628 0.6375 0.3970
```

=====

Material: TlCd11Ge
Method: DFT, GGA-PBE
State: relaxed

* E_form: 0.0623 eV per atom
* volume: 310.1 Å³ per cell
* final energy: -1.249 eV/atom

The structure in CIF format:
```
data_TlCd11Ge
_symmetry_space_group_name_H-M 'P 1'
_symmetry_Int_Tables_number 1
_cell_length_a 5.9928
_cell_length_b 7.9585
_cell_length_c 7.6628
_cell_angle_alpha 81.28
_cell_angle_beta 66.98
_cell_angle_gamma 67.20
loop_
_symmetry_equiv_pos_as_xyz
'x,y,z'
loop_
_atom_site_label
_atom_site_type_symbol
_atom_site_fract_x
_atom_site_fract_y
_atom_site_fract_z
Cd1 Cd 0.7134 0.7841 0.7855
Cd2 Cd 0.3592 0.6482 0.6476
Cd3 Cd 0.5011 0.2159 0.7855
Cd4 Cd 0.4989 0.7841 0.2145
Cd5 Cd 0.0000 0.5000 0.0000
Cd6 Cd 0.9932 0.3518 0.6476
Cd7 Cd 0.0000 0.0000 0.5000
Cd8 Cd 0.6408 0.3518 0.3524
Tl1 Tl 0.0000 0.0000 0.0000
Cd9 Cd 0.0068 0.6482 0.3524
Cd10 Cd 0.2866 0.2159 0.2145
Ge1 Ge 0.5000 0.5000 0.0000
Cd11 Cd 0.5000 0.0000 0.5000
```

=====

Material: Tl2Cd2Ge
Method: DFT, GGA-PBE
State: relaxed

* E_form: 0.2700 eV per atom
* volume: 272.9 Å³ per cell
* excess energy over the best structure of this formula in the dataset: 130 meV per atom
* final energy: -1.966 eV/atom

The structure in CIF format:
```
data_Tl2Cd2Ge
_symmetry_space_group_name_H-M 'P 1'
_symmetry_Int_Tables_number 1
_cell_length_a 7.9289
_cell_length_b 7.9289
_cell_length_c 4.3413
_cell_angle_alpha 90.00
_cell_angle_beta 90.00
_cell_angle_gamma 90.00
loop_
_symmetry_equiv_pos_as_xyz
'x,y,z'
loop_
_atom_site_label
_atom_site_type_symbol
_atom_site_fract_x
_atom_site_fract_y
_atom_site_fract_z
Ge1 Ge 0.5000 0.5000 0.0000
Ge2 Ge 0.0000 0.0000 0.0000
Tl1 Tl 0.6591 0.1591 0.0000
Cd1 Cd 0.8554 0.3554 0.5000
Cd2 Cd 0.1446 0.6446 0.5000
Tl2 Tl 0.3409 0.8409 0.0000
Cd3 Cd 0.6446 0.8554 0.5000
Cd4 Cd 0.3554 0.1446 0.5000
Tl3 Tl 0.1591 0.3409 0.0000
Tl4 Tl 0.8409 0.6591 0.0000
```

=====

| no. | Fermi-level density of states (states/eV/f.u.) |
| --- | --- |
| 1 | 1.93 |
| 2 | 1.37 |
| 3 | 3.70 |
| 4 | 2.12 |
| 5 | 3.14 |
| 6 | 3.93 |
| 7 | 2.01 |
| 8 | 2.02 |
| 9 | 6.65 |
| 10 | 3.39 |
| 11 | 2.85 |